Crystalline PmGdLuSc at its relaxed geometry. Source: Alexandria via LeMat-Bulk, functional PBE.

Cell and atoms, written as extended XYZ:
```
4
Lattice="0.000 3.920 3.920 3.920 0.000 3.920 3.920 3.920 0.000" Properties=species:S:1:pos:R:3 pbc="T T T"
Pm 0.000 0.000 0.000
Gd 3.920 3.920 3.920
Lu 5.880 5.880 5.880
Sc 1.960 1.960 1.960
```

- ΔE_f: 0.083 eV/atom
- Magnetization: 7.2 μB per formula unit